Record 1
# PmEr3Hg2 | the Alexandria database | PBE | relaxed
data_PmEr3Hg2
_chemical_formula_sum 'Pm2 Er6 Hg4'
_space_group_name_H-M_alt 'P 1'
_space_group_IT_number 1
_space_group_name_Hall 'P 1'
_cell_length_a 5.076
_cell_length_b 7.136
_cell_length_c 9.230
_cell_angle_alpha 90.00
_cell_angle_beta 90.00
_cell_angle_gamma 90.00
loop_
_atom_site_label
_atom_site_fract_x
_atom_site_fract_y
_atom_site_fract_z
Er1 0.500 0.667 0.172
Er2 0.000 0.334 0.320
Er3 0.500 0.167 0.828
Er4 0.000 0.984 0.057
Er5 0.000 0.484 0.943
Er6 0.000 0.834 0.680
Hg1 0.000 0.257 0.650
Hg2 0.000 0.757 0.350
Hg3 0.500 0.242 0.146
Hg4 0.500 0.742 0.854
Pm1 0.500 0.016 0.443
Pm2 0.500 0.516 0.557
# Crystal system: orthorhombic
# Space group: Pmc2_1, No. 26
# Size of the total moment: 0.0 μB per formula unit
# ΔE_f: -34.0 kJ/mol of atoms

Record 2
# Ca2IrCCl | the Alexandria database | PBE | relaxed
data_Ca2IrCCl
_chemical_formula_sum 'Ca2 Ir1 C1 Cl1'
_space_group_name_H-M_alt 'P 1'
_space_group_IT_number 1
_space_group_name_Hall 'P 1'
_cell_length_a 5.220
_cell_length_b 5.220
_cell_length_c 3.829
_cell_angle_alpha 90.00
_cell_angle_beta 90.00
_cell_angle_gamma 90.00
loop_
_atom_site_label
_atom_site_fract_x
_atom_site_fract_y
_atom_site_fract_z
C1 0.000 0.000 0.000
Ir1 0.000 0.000 0.500
Cl1 0.500 0.500 0.500
Ca1 0.500 0.000 0.000
Ca2 0.000 0.500 0.000
# Crystal system: tetragonal
# Space group: P4/mmm, No. 123
# Size of the total moment: 0.0 μB per formula unit
# Formation energy from raw total energies: -0.802 eV per atom

Record 3
# ZnCr2Au | the Alexandria database | PBE | relaxed
data_ZnCr2Au
_chemical_formula_sum 'Zn1 Cr2 Au1'
_space_group_name_H-M_alt 'P 1'
_space_group_IT_number 1
_space_group_name_Hall 'P 1'
_cell_length_a 4.808
_cell_length_b 4.808
_cell_length_c 4.808
_cell_angle_alpha 131.94
_cell_angle_beta 131.94
_cell_angle_gamma 70.32
loop_
_atom_site_label
_atom_site_fract_x
_atom_site_fract_y
_atom_site_fract_z
Au1 0.750 0.250 0.500
Cr1 0.250 0.750 0.500
Cr2 0.000 0.000 0.000
Zn1 0.500 0.500 0.000
# Crystal system: tetragonal
# Space group: I-4m2, No. 119
# Size of the total moment: 0.1 μB per formula unit
# ΔE_f: 7.5 kJ/mol of atoms

Record 4
# ScTc2Ni | the Alexandria database | PBE | relaxed
data_ScTc2Ni
_chemical_formula_sum 'Sc1 Tc2 Ni1'
_space_group_name_H-M_alt 'P 1'
_space_group_IT_number 1
_space_group_name_Hall 'P 1'
_cell_length_a 2.685
_cell_length_b 2.685
_cell_length_c 8.243
_cell_angle_alpha 90.00
_cell_angle_beta 90.00
_cell_angle_gamma 90.02
loop_
_atom_site_label
_atom_site_fract_x
_atom_site_fract_y
_atom_site_fract_z
Ni1 0.500 0.500 0.250
Tc1 0.000 0.000 0.030
Tc2 0.000 0.000 0.470
Sc1 0.500 0.500 0.750
# Crystal system: tetragonal
# Space group: P4/mmm, No. 123
# Size of the total moment: 0.0 μB per formula unit
# ΔE_f: 5.3 kJ/mol of atoms

Record 5
# Sm4Y5Th2 | the Alexandria database | PBE | relaxed
data_Sm4Y5Th2
_chemical_formula_sum 'Sm4 Y5 Th2'
_space_group_name_H-M_alt 'P 1'
_space_group_IT_number 1
_space_group_name_Hall 'P 1'
_cell_length_a 3.434
_cell_length_b 8.824
_cell_length_c 12.212
_cell_angle_alpha 85.80
_cell_angle_beta 98.08
_cell_angle_gamma 90.00
loop_
_atom_site_label
_atom_site_fract_x
_atom_site_fract_y
_atom_site_fract_z
Sm1 0.676 0.523 0.353
Sm2 0.046 0.637 0.092
Sm3 0.954 0.363 0.908
Sm4 0.324 0.477 0.647
Y1 0.500 0.000 0.000
Y2 0.231 0.175 0.463
Y3 0.140 0.887 0.281
Y4 0.860 0.113 0.719
Y5 0.769 0.825 0.537
Th1 0.089 0.261 0.179
Th2 0.911 0.739 0.821
# Crystal system: monoclinic
# Space group: C2/m, No. 12
# Size of the total moment: 0.0 μB per formula unit
# ΔE_f: 16.6 kJ/mol of atoms

Record 6
# Pr4Tl2Cu | the Alexandria database | PBE | relaxed
data_Pr4Tl2Cu
_chemical_formula_sum 'Pr4 Tl2 Cu1'
_space_group_name_H-M_alt 'P 1'
_space_group_IT_number 1
_space_group_name_Hall 'P 1'
_cell_length_a 3.828
_cell_length_b 7.061
_cell_length_c 9.177
_cell_angle_alpha 113.16
_cell_angle_beta 102.04
_cell_angle_gamma 90.00
loop_
_atom_site_label
_atom_site_fract_x
_atom_site_fract_y
_atom_site_fract_z
Pr1 0.380 0.701 0.761
Pr2 0.916 0.261 0.832
Pr3 0.620 0.299 0.239
Pr4 0.084 0.739 0.168
Tl1 0.254 0.197 0.507
Tl2 0.746 0.803 0.493
Cu1 0.000 0.000 0.000
# Crystal system: monoclinic
# Space group: C2/m, No. 12
# Size of the total moment: 0.0 μB per formula unit
# ΔE_f: -11.7 kJ/mol of atoms

Record 7
# Dy3Y5Er | the Alexandria database | PBE | relaxed
data_Dy3Y5Er
_chemical_formula_sum 'Dy6 Y10 Er2'
_space_group_name_H-M_alt 'P 1'
_space_group_IT_number 1
_space_group_name_Hall 'P 1'
_cell_length_a 7.020
_cell_length_b 9.716
_cell_length_c 9.716
_cell_angle_alpha 120.00
_cell_angle_beta 90.00
_cell_angle_gamma 90.00
loop_
_atom_site_label
_atom_site_fract_x
_atom_site_fract_y
_atom_site_fract_z
Y1 0.750 0.000 0.695
Y2 0.500 0.333 0.667
Y3 0.750 0.305 0.305
Y4 0.250 0.000 0.305
Y5 0.000 0.667 0.333
Y6 0.250 0.305 0.000
Y7 0.500 0.667 0.333
Y8 0.750 0.695 0.000
Y9 0.000 0.333 0.667
Y10 0.250 0.695 0.695
Dy1 0.250 0.360 0.360
Dy2 0.250 0.640 0.000
Dy3 0.750 0.640 0.640
Dy4 0.250 0.000 0.640
Dy5 0.750 0.000 0.360
Dy6 0.750 0.360 0.000
Er1 0.500 0.000 0.000
Er2 0.000 0.000 0.000
# Crystal system: hexagonal
# Space group: P6_3/mcm, No. 193
# Size of the total moment: 0.0 μB per formula unit
# ΔE_f: 4.9 kJ/mol of atoms

Record 8
# Ba3Ag3Pb | the Alexandria database | PBE | relaxed
data_Ba3Ag3Pb
_chemical_formula_sum 'Ba6 Ag6 Pb2'
_space_group_name_H-M_alt 'P 1'
_space_group_IT_number 1
_space_group_name_Hall 'P 1'
_cell_length_a 4.923
_cell_length_b 6.725
_cell_length_c 16.866
_cell_angle_alpha 88.60
_cell_angle_beta 81.61
_cell_angle_gamma 68.53
loop_
_atom_site_label
_atom_site_fract_x
_atom_site_fract_y
_atom_site_fract_z
Ba1 0.420 0.753 0.407
Ba2 0.400 0.274 0.926
Ba3 0.765 0.694 0.777
Ba4 0.600 0.726 0.074
Ba5 0.580 0.247 0.593
Ba6 0.235 0.306 0.223
Ag1 0.946 0.889 0.220
Ag2 0.111 0.337 0.440
Ag3 0.895 0.137 0.073
Ag4 0.105 0.863 0.927
Ag5 0.889 0.663 0.560
Ag6 0.054 0.111 0.780
Pb1 0.268 0.834 0.631
Pb2 0.732 0.166 0.369
# Crystal system: monoclinic
# Space group: C2/m, No. 12
# Size of the total moment: 0.0 μB per formula unit
# ΔE_f: -28.9 kJ/mol of atoms